No. 1
KTa4S8, optimized geometry, DFT PBE; polymorph energy (0 for the lowest one) = 0 meV per atom; symmetry = C2/m, No. 12; formation energy (no corrections) = -1.03 eV per atom
1.0
3.3157 0.0000 0.7182
1.5195 8.5906 0.9979
-0.2573 -0.0909 9.2009
Ta S K
4 8 1
Direct
0.3633 0.8303 0.4430
0.8368 0.5018 0.8246
0.6680 0.1733 0.4907
0.1946 0.5016 0.1092
0.8752 0.6752 0.5745
0.8259 0.3103 0.0378
0.1718 0.0158 0.6406
0.1562 0.3284 0.3593
0.8595 0.9878 0.2931
0.5553 0.6546 0.2347
0.4761 0.3489 0.6990
0.2056 0.6930 0.8959
0.5159 0.0012 0.9669

No. 2
KTaS4, optimized geometry, DFT PBE; polymorph energy (0 for the lowest one) = 0 meV per atom; symmetry = C2/c, No. 15; formation energy (no corrections) = -0.92 eV per atom
1.0
-3.9626 -5.1565 -0.6545
4.7713 -3.4160 -5.2175
5.7102 -4.9153 2.5313
K S Ta
2 8 2
Direct
0.2500 0.6363 0.7274
0.7500 0.3637 0.2726
0.8619 0.8777 0.4256
0.0011 0.7853 0.0091
0.1381 0.1223 0.5744
0.9989 0.2147 0.9909
0.5011 0.7943 0.9909
0.3619 0.3032 0.5744
0.6381 0.6968 0.4256
0.4989 0.2057 0.0091
0.7500 0.9446 0.1109
0.2500 0.0554 0.8891

No. 3
K4Ta2S11, optimized geometry, DFT PBE; polymorph energy (0 for the lowest one) = 0 meV per atom; symmetry = P-1, No. 2; formation energy (no corrections) = -0.94 eV per atom
1.0
-7.1280 -1.6889 -2.0365
2.2400 -11.2618 -1.9374
-2.0334 -6.5703 9.8237
S K Ta
22 8 4
Direct
0.5134 0.4844 0.2557
0.4914 0.1808 0.3667
0.2346 0.3385 0.5345
0.2888 0.9359 0.3655
0.5086 0.8192 0.6333
0.8336 0.0318 0.7964
0.7654 0.6615 0.4655
0.8105 0.7324 0.9699
0.7321 0.4157 0.7592
0.0369 0.6239 0.7293
0.0671 0.1937 0.3358
0.7112 0.0641 0.6345
0.9631 0.3761 0.2707
0.1895 0.2676 0.0301
0.2679 0.5843 0.2408
0.3459 0.3623 0.1021
0.9329 0.8063 0.6642
0.6541 0.6377 0.8979
0.1664 0.9682 0.2036
0.3885 0.9174 0.8805
0.4866 0.5156 0.7443
0.6115 0.0826 0.1195
0.7435 0.3689 0.5067
0.2565 0.6311 0.4933
0.7859 0.9630 0.3874
0.5282 0.8123 0.1540
0.2296 0.6528 0.9472
0.2141 0.0370 0.6126
0.7704 0.3472 0.0528
0.4718 0.1877 0.8460
0.2660 0.3528 0.3408
0.3548 0.1324 0.2044
0.6452 0.8676 0.7956
0.7340 0.6472 0.6592

formation energy (no corrections) of number 3 (K4Ta2S11)?
-0.94 eV per atom